# 1
Here is an optimized crystal structure of ZrNb6Re from the Alexandria database. Energies are from PBE.

Structure (extended XYZ):
```
8
Lattice="4.8504 2.8004 1.8355 -4.8504 2.8004 1.8355 0.0000 -5.6007 1.8355" Properties=species:S:1:pos:R:3 pbc="T T T"
Zr 0.0000 0.0000 0.0000
Nb 0.0000 -2.7219 2.2883
Nb -2.3572 1.3609 2.2883
Nb -2.3572 -1.3609 3.2181
Nb 2.3572 1.3609 2.2883
Nb 2.3572 -1.3609 3.2181
Nb 0.0000 2.7219 3.2181
Re 0.0000 0.0000 2.7532
```

Results
Space group: R-3m, No. 166
Energy of formation from the pure elements in eV per atom: 0.128

# 2
Here is an optimized crystal structure of BW from the Alexandria database. Energies are from PBE.

Structure (extended XYZ):
```
8
Lattice="-3.3510 3.3510 3.3510 3.3510 -3.3510 3.3510 3.3510 3.3510 -3.3510" Properties=species:S:1:pos:R:3 pbc="T T T"
B 2.2402 2.2402 -2.2402
B 2.2402 -2.2402 2.2402
B 1.1108 1.1108 1.1108
B -2.2402 2.2402 2.2402
W 1.0179 1.0179 -1.0179
W 1.0179 -1.0179 1.0179
W -1.0179 1.0179 1.0179
W 2.3331 2.3331 2.3331
```

Results
Offset from the most stable computed form in eV per atom: 1.558
Space group: I-43m, No. 217
Energy of formation from the pure elements in eV per atom: 1.190

# 3
Here is an optimized crystal structure of CeDyEr14 from the Alexandria database. Energies are from PBE.

Structure (extended XYZ):
```
16
Lattice="7.0163 0.0000 0.0000 0.0000 7.0163 0.0000 0.0000 0.0000 9.9273" Properties=species:S:1:pos:R:3 pbc="T T T"
Ce 0.0000 0.0000 0.0000
Dy 3.5082 3.5082 0.0000
Er 0.0000 0.0000 4.9636
Er 0.0000 3.5082 0.0000
Er 0.0000 3.5082 4.9636
Er 1.7479 1.7479 2.4852
Er 1.7479 1.7479 7.4421
Er 1.7479 5.2684 2.4852
Er 1.7479 5.2684 7.4421
Er 3.5082 0.0000 0.0000
Er 3.5082 0.0000 4.9636
Er 3.5082 3.5082 4.9636
Er 5.2684 1.7479 2.4852
Er 5.2684 1.7479 7.4421
Er 5.2684 5.2684 2.4852
Er 5.2684 5.2684 7.4421
```

Results
Space group: P4/mmm, No. 123
Energy of formation from the pure elements in eV per atom: 0.030

# 4
Here is an optimized crystal structure of Pr2ThPt from the Alexandria database. Energies are from PBE.

Structure (extended XYZ):
```
4
Lattice="1.8617 1.0748 10.9482 -1.8617 1.0748 10.9482 0.0000 -2.1497 10.9482" Properties=species:S:1:pos:R:3 pbc="T T T"
Pr 0.0000 0.0000 3.5263
Pr 0.0000 0.0000 29.3182
Th 0.0000 0.0000 0.0000
Pt 0.0000 0.0000 16.4223
```

Results
Offset from the most stable computed form in eV per atom: 0.287
Space group: R-3m, No. 166
Energy of formation from the pure elements in eV per atom: -0.160

# 5
Here is an optimized crystal structure of Nd4ZnSe2 from the Alexandria database. Energies are from PBE.

Structure (extended XYZ):
```
14
Lattice="-4.7125 4.7125 4.7166 4.7125 -4.7125 4.7166 4.7125 4.7125 -4.7166" Properties=species:S:1:pos:R:3 pbc="T T T"
Nd 2.9064 2.3562 -0.5179
Nd 6.5186 2.3562 -0.5179
Nd 0.0000 0.5502 1.8405
Nd 4.7125 0.5502 2.8762
Nd 0.0000 4.1623 1.8405
Nd 4.7125 4.1623 2.8762
Nd -1.8061 2.3562 5.2345
Nd 1.8061 2.3562 5.2345
Zn 4.7125 -2.3562 3.5375
Zn 0.0000 7.0687 1.1792
Se 4.7125 0.0000 0.0000
Se -2.3562 2.3562 2.3583
Se 0.0000 0.0000 4.7166
Se 2.3562 2.3562 2.3583
```

Results
Total DFT energy (no corrections) in eV per atom: -4.906
Space group: I4_1/amd, No. 141

# 6
Here is an optimized crystal structure of DyHoIr2 from the Alexandria database. Energies are from PBE.

Structure (extended XYZ):
```
8
Lattice="4.9128 0.0000 0.0000 0.0000 3.3112 0.0000 0.0000 0.0000 9.8245" Properties=species:S:1:pos:R:3 pbc="T T T"
Dy 1.2282 0.0000 1.2316
Dy 3.6846 0.0000 8.5928
Ho 1.2282 0.0000 6.1364
Ho 3.6846 0.0000 3.6881
Ir 1.2282 1.6556 3.6930
Ir 1.2282 1.6556 8.5864
Ir 3.6846 1.6556 1.2381
Ir 3.6846 1.6556 6.1315
```

Results
Offset from the most stable computed form in eV per atom: 0.007
Space group: Pmma, No. 51
Energy of formation from the pure elements in eV per atom: -0.830

# 7
Here is an optimized crystal structure of TbPr2Er9 from the Alexandria database. Energies are from PBE.

Structure (extended XYZ):
```
12
Lattice="11.2242 0.0000 0.0000 -5.6121 9.7204 0.0000 0.0000 0.0000 3.4885" Properties=species:S:1:pos:R:3 pbc="T T T"
Tb 0.0000 0.0000 0.0000
Pr 0.0000 6.4803 0.0000
Pr 5.6121 3.2401 0.0000
Er -2.8060 4.8602 0.0000
Er 0.0000 3.3787 1.7442
Er -2.6860 8.0311 1.7442
Er 2.9261 1.6894 1.7442
Er 5.6121 0.0000 0.0000
Er 2.8060 4.8602 0.0000
Er 2.6860 8.0311 1.7442
Er 8.2981 1.6894 1.7442
Er 5.6121 6.3417 1.7442
```

Results
Offset from the most stable computed form in eV per atom: 0.050
Space group: P6/mmm, No. 191
Energy of formation from the pure elements in eV per atom: 0.076

# 8
Here is an optimized crystal structure of Ba2InP from the Alexandria database. Energies are from PBE.

Structure (extended XYZ):
```
4
Lattice="0.0000 4.0956 4.0956 4.0956 0.0000 4.0956 4.0956 4.0956 0.0000" Properties=species:S:1:pos:R:3 pbc="T T T"
Ba 2.0478 2.0478 2.0478
Ba 6.1434 6.1434 6.1434
In 0.0000 0.0000 0.0000
P 4.0956 4.0956 4.0956
```

Results
Offset from the most stable computed form in eV per atom: 0.197
Space group: Fm-3m, No. 225
Energy of formation from the pure elements in eV per atom: -0.410

# 9
Here is an optimized crystal structure of PuAlTlO6 from the Alexandria database. Energies are from PBE.

Structure (extended XYZ):
```
18
Lattice="5.2788 0.0000 0.0000 -2.6394 4.5716 0.0000 0.0000 0.0000 9.6153" Properties=species:S:1:pos:R:3 pbc="T T T"
Pu 0.0000 3.0477 2.4038
Pu 2.6394 1.5239 7.2115
Al 0.0000 3.0477 7.2115
Al 2.6394 1.5239 2.4038
Tl 0.0000 0.0000 0.0000
Tl 0.0000 0.0000 4.8077
O -0.8720 1.6841 6.1490
O -1.6169 2.9744 8.2740
O 0.8720 1.6841 8.2740
O -0.7450 4.4847 6.1490
O 1.8944 0.0869 1.3413
O 1.0225 1.5972 3.4664
O 1.6169 2.9744 6.1490
O 0.7450 4.4847 8.2740
O 3.3844 0.0869 3.4664
O 1.7674 2.8875 1.3413
O 4.2563 1.5972 1.3413
O 3.5114 2.8875 3.4664
```

Results
Total DFT energy (no corrections) in eV per atom: -7.602
Space group: P-31c, No. 163

# 10
Here is an optimized crystal structure of Nd2ErSc from the Alexandria database. Energies are from PBE.

Structure (extended XYZ):
```
4
Lattice="1.7756 1.0251 11.3419 -1.7756 1.0251 11.3419 0.0000 -2.0503 11.3419" Properties=species:S:1:pos:R:3 pbc="T T T"
Nd 0.0000 0.0000 8.4135
Nd 0.0000 0.0000 25.6123
Er 0.0000 0.0000 0.0000
Sc 0.0000 0.0000 17.0129
```

Results
Offset from the most stable computed form in eV per atom: 0.006
Space group: R-3m, No. 166
Energy of formation from the pure elements in eV per atom: 0.046

# 11
Here is an optimized crystal structure of Ba2HgBi2 from the Alexandria database. Energies are from PBE.

Structure (extended XYZ):
```
20
Lattice="10.0840 0.0000 0.0000 0.0000 8.7989 0.0000 0.0000 0.0000 9.2541" Properties=species:S:1:pos:R:3 pbc="T T T"
Ba 1.0753 2.1997 0.0000
Ba 1.0753 2.1997 4.6270
Ba 3.6582 6.5992 0.0000
Ba 3.6582 6.5992 4.6270
Ba 6.4258 2.1997 0.0000
Ba 6.4258 2.1997 4.6270
Ba 9.0087 6.5992 0.0000
Ba 9.0087 6.5992 4.6270
Hg 3.8529 0.7402 2.3135
Hg 3.8529 3.6593 6.9405
Hg 6.2311 5.1397 2.3135
Hg 6.2311 8.0587 6.9405
Bi 1.2800 5.0666 6.9405
Bi 1.2800 8.1318 2.3135
Bi 3.6072 0.6985 6.9405
Bi 3.6072 3.7010 2.3135
Bi 6.4768 5.0979 6.9405
Bi 6.4768 8.1005 2.3135
Bi 8.8040 0.6672 6.9405
Bi 8.8040 3.7323 2.3135
```

Results
Offset from the most stable computed form in eV per atom: 0.000
Space group: Pbcm, No. 57
Energy of formation from the pure elements in eV per atom: -0.738

# 12
Here is an optimized crystal structure of HfScGe2Mo from the Alexandria database. Energies are from PBE.

Structure (extended XYZ):
```
5
Lattice="4.8485 0.0000 0.0000 0.0000 4.8485 0.0000 0.0000 0.0000 5.0025" Properties=species:S:1:pos:R:3 pbc="T T T"
Hf 0.0000 0.0000 0.0000
Sc 2.4243 2.4243 0.0000
Ge 0.0000 2.4243 2.5013
Ge 2.4243 0.0000 2.5013
Mo 0.0000 0.0000 2.5013
```

Results
Space group: P4/mmm, No. 123
Energy of formation from the pure elements in eV per atom: 0.407

For the records above, the corresponding size of the total moment values read 0.000; 0.005; 0.863; 0.000; 0.599; 0.000; 0.001; 0.000; 4.002; 0.000; 0.000; 0.000 Bohr magnetons per cell.